[1]
La2Ta2In PBE relaxed; energy of formation from the pure elements = 0.96 eV per atom; E above lowest polymorph = 0.6991 eV/atom
1.0
-2.130 2.130 7.392
2.130 -2.130 7.392
2.130 2.130 -7.392
La Ta In
2 2 1
direct
0.250 0.750 0.500 La
0.750 0.250 0.500 La
0.079 0.079 0.000 Ta
0.921 0.921 0.000 Ta
0.500 0.500 0.000 In


[2]
ZrIn2Hg PBE relaxed; energy of formation from the pure elements = -0.05 eV per atom
1.0
3.228 0.000 0.000
0.000 3.228 0.000
0.000 0.000 9.212
Zr In Hg
1 2 1
direct
0.000 0.000 0.000 Zr
0.500 0.500 0.231 In
0.500 0.500 0.769 In
0.000 0.000 0.500 Hg